Model w:
TcAgOs2: PBEsol geometry, meta-GGA SCAN.

Cell and atoms, written as extended XYZ:
```
4
Lattice="-2.3498 -0.1206 1.3576 -1.2497 -3.8257 -2.5029 3.3132 -1.9362 2.8451" Properties=species:S:1:pos:R:3 pbc="T T T"
Tc -1.1749 -0.0603 0.6788
Os -1.0168 -4.0464 0.5985
Os 0.7304 -1.8361 1.1012
Ag -0.6249 -1.9128 -1.2514
```

Crystal system = monoclinic
Spin magnetization = 0.000 μB per formula unit


Model x:
TcAgOs2: PBEsol geometry, meta-GGA SCAN.

Cell and atoms, written as extended XYZ:
```
4
Lattice="2.7038 0.0000 0.0000 0.0000 2.7038 0.0000 0.0000 0.0000 8.0016" Properties=species:S:1:pos:R:3 pbc="T T T"
Tc 0.0000 0.0000 3.8896
Os 1.3519 1.3519 1.9675
Os 0.0000 0.0000 0.1388
Ag 1.3519 1.3519 6.0064
```

Crystal system = tetragonal
Spin magnetization = 0.000 μB per formula unit


The structure with the greatest stability is model x.


Model w:
Ag2OsW: PBEsol geometry, meta-GGA SCAN.

Cell and atoms, written as extended XYZ:
```
4
Lattice="-1.7248 0.2498 -2.3270 2.2419 -0.6532 -1.7319 -1.7607 -7.3973 0.5109" Properties=species:S:1:pos:R:3 pbc="T T T"
W -1.0142 -5.5490 -1.6601
Os -0.9225 -3.8758 0.2677
Ag -1.7586 -7.3886 0.5103
Ag -0.1893 -2.0833 -1.8995
```

Crystal system = tetragonal
Spin magnetization = 0.000 μB per formula unit


Model x:
Ag2OsW: PBEsol geometry, meta-GGA SCAN.

Cell and atoms, written as extended XYZ:
```
4
Lattice="-2.3502 -1.3316 -0.4133 -0.4892 -2.3472 1.3109 -4.9610 3.6269 7.4911" Properties=species:S:1:pos:R:3 pbc="T T T"
Ag -5.8387 -0.0529 6.2708
Ag -1.9617 0.0010 2.1179
Os -3.9002 -0.0260 4.1944
W 0.0000 0.0000 0.0000
```

Crystal system = trigonal
Spin magnetization = 0.005 μB per formula unit


The structure with the greatest stability is model w.


Model w:
AgOs2W: PBEsol geometry, meta-GGA SCAN.

Cell and atoms, written as extended XYZ:
```
4
Lattice="2.7833 0.0000 0.0000 0.0000 4.7276 0.0043 0.0000 -1.4475 4.5005" Properties=species:S:1:pos:R:3 pbc="T T T"
Ag 1.3917 1.6400 2.2524
Os 0.0000 2.3638 0.0021
Os 0.0000 -0.7238 2.2503
W 1.3917 0.0000 0.0000
```

Crystal system = orthorhombic
Spin magnetization = 0.000 μB per formula unit


Model x:
AgOs2W: PBEsol geometry, meta-GGA SCAN.

Cell and atoms, written as extended XYZ:
```
4
Lattice="-1.9484 -1.8395 2.7323 2.4409 -2.9379 -0.2374 2.0869 4.0996 1.5682" Properties=species:S:1:pos:R:3 pbc="T T T"
Os 0.0000 0.0000 0.0000
Os 0.1924 -0.0643 2.7740
W 0.2462 -2.3887 1.2474
Ag 2.3870 -0.6135 1.2891
```

Crystal system = tetragonal
Spin magnetization = 0.000 μB per formula unit


The structure with the greatest stability is model w.


Model w:
AgP: PBEsol geometry, meta-GGA SCAN.

Cell and atoms, written as extended XYZ:
```
4
Lattice="2.6693 0.0000 0.0000 0.0000 5.0244 0.0000 -1.3347 0.0000 4.8571" Properties=species:S:1:pos:R:3 pbc="T T T"
P 1.3347 3.7683 4.8527
P 0.0000 1.2561 0.0044
Ag 1.3347 3.7683 2.2892
Ag 0.0000 1.2561 2.5679
```

Crystal system = orthorhombic
Spin magnetization = 0.000 μB per formula unit


Model x:
AgP: PBEsol geometry, meta-GGA SCAN.

Cell and atoms, written as extended XYZ:
```
4
Lattice="-1.1710 2.0839 -2.1810 -3.9107 -1.4260 0.7372 1.3588 4.2731 3.3532" Properties=species:S:1:pos:R:3 pbc="T T T"
Ag -1.2488 3.7742 0.6759
Ag -2.4742 1.1568 1.2335
P -0.3781 1.0303 -0.0128
P -3.3449 3.9007 1.9222
```

Crystal system = orthorhombic
Spin magnetization = 0.000 μB per formula unit


The structure with the greatest stability is model x.